A plane-wave DFT calculation with PBE-GGA was carried out for GdLuScOs after structural relaxation.

Properties
**SG**: F-43m (216)
**Mass density**: 10.719 g/cm³
**Uncorrected energy**: -9.0571 eV per atom
**Energy of formation**: -0.065 eV/f.u.

Cell: 4.991 4.991 4.991 Å, 60.00 60.00 60.00°
Last column: magnetic moment on the atom in μB.
Atoms (fractional coordinates):
Os 0.500 0.500 0.500  0.08
Gd 0.750 0.750 0.750  -7.05
Lu 0.250 0.250 0.250  0.01
Sc 0.000 0.000 0.000  0.01